Record 1
{
  "formula": "Fe2RhW",
  "functional": "meta-GGA SCAN",
  "state": "single point on PBEsol structure",
  "de_polymorph_ev_per_atom": 0.109,
  "lattice": [[-2.1019, 1.3838, 0.6974], [-1.2373, -2.1969, 0.6795], [2.7366, 0.6257, 7.0064]],
  "species": ["Rh", "Fe", "Fe", "W"],
  "fractional_positions": [[0.5000, 0.5000, 0.5000], [0.0000, 0.0000, 0.7378], [0.0000, 0.0000, 0.2622], [0.5000, 0.5000, 0.0000]]
}

***

Record 2
{
  "formula": "ZrZn2As",
  "functional": "meta-GGA SCAN",
  "state": "single point on PBEsol structure",
  "total_energy_ev_per_atom": -19.551,
  "lattice": [[-1.2866, -1.9502, -1.9347], [1.7049, -2.0528, -1.4425], [-1.1396, -7.0245, 5.4602]],
  "species": ["Zr", "As", "Zn", "Zn"],
  "fractional_positions": [[0.5001, 0.5001, 0.4996], [0.2523, 0.2523, 0.2430], [0.0030, 0.0030, 0.9910], [0.7445, 0.7445, 0.7664]]
}

***

Record 3
{
  "formula": "LiHfZn2",
  "functional": "meta-GGA SCAN",
  "state": "single point on PBEsol structure",
  "total_energy_ev_per_atom": -23.211,
  "lattice": [[-1.1176, -2.7341, 3.3376], [2.7704, -3.2691, 1.2254], [2.1503, 0.2446, 3.8962]],
  "species": ["Zn", "Zn", "Hf", "Li"],
  "fractional_positions": [[0.7500, 0.7500, 0.7500], [0.2500, 0.2500, 0.2500], [0.5000, 0.5000, 0.5000], [0.0000, 0.0000, 0.0000]]
}